Cu2Pt8W (GGA-PBE, optimized geometry); volume = 172 Å³ per cell; calculated formation energy = -0.07 eV per atom; symmetry = Cmmm, No. 65; total energy = -6.386 eV/atom
1.0
-1.059 -3.659 -1.311
4.459 -2.760 4.099
-5.641 0.374 3.513
W Pt Cu
1 8 2
direct
0.500 0.000 0.000 W
0.000 0.958 0.696 Pt
0.000 0.696 0.958 Pt
0.500 0.668 0.668 Pt
0.500 0.250 0.750 Pt
0.500 0.750 0.250 Pt
0.500 0.332 0.332 Pt
0.000 0.304 0.042 Pt
0.000 0.042 0.304 Pt
0.000 0.614 0.386 Cu
0.000 0.386 0.614 Cu

***

KRbPaO4 (GGA-PBE, optimized geometry); volume = 138 Å³ per cell; symmetry = I4mm, No. 107; ΔE_f (raw) = -57.42 kcal/mol of atoms; total energy = -6.975 eV/atom
1.0
-3.006 3.244 0.506
-1.259 -0.505 -4.240
-2.598 -6.060 3.830
K Rb Pa O
1 1 1 4
direct
0.650 0.650 0.299 K
0.346 0.346 0.691 Rb
0.000 0.000 0.001 Pa
0.002 0.502 0.004 O
0.502 0.002 0.004 O
0.854 0.854 0.709 O
0.146 0.146 0.291 O

***

NaDy2Te (GGA-PBE, optimized geometry); volume = 147 Å³ per cell; symmetry = R-3m, No. 166; ΔE_f (raw) = -6.31 kcal/mol of atoms; total energy = -3.690 eV/atom
1.0
3.902 0.000 0.000
1.951 3.380 0.000
1.951 1.127 11.114
Na Te Dy
1 1 2
direct
0.000 0.000 0.000 Na
0.500 0.500 0.500 Te
0.106 0.106 0.681 Dy
0.894 0.894 0.319 Dy

***

NaTc2Pt (GGA-PBE, optimized geometry); energy relative to the lowest polymorph listed for this composition = 0.00 eV/f.u.; volume = 63 Å³ per cell; calculated formation energy = 0.83 eV per atom; symmetry = Fm-3m, No. 225; total energy = -6.191 eV/atom
1.0
-0.973 -3.537 -2.530
-1.577 -3.719 1.881
-4.248 -1.187 -0.631
Na Tc Pt
1 2 1
direct
0.000 0.000 0.000 Na
0.250 0.250 0.250 Tc
0.750 0.750 0.750 Tc
0.500 0.500 0.500 Pt

***

ReTe2Au (GGA-PBE, optimized geometry); energy relative to the lowest polymorph listed for this composition = 0.88 eV/f.u.; volume = 232 Å³ per cell; symmetry = I-42d, No. 122; ΔE_f (raw) = 11.31 kcal/mol of atoms; total energy = -5.012 eV/atom
1.0
6.145 0.000 0.000
0.000 6.145 0.000
3.073 3.073 6.149
Re Te Au
2 4 2
direct
0.500 0.500 0.000 Re
0.250 0.750 0.500 Re
0.598 0.125 0.250 Te
0.152 0.625 0.250 Te
0.375 0.402 0.750 Te
0.875 0.848 0.750 Te
0.000 0.000 0.000 Au
0.750 0.250 0.500 Au

***

Nb2PdPt2 (GGA-PBE, optimized geometry); energy relative to the lowest polymorph listed for this composition = 1.06 eV/f.u.; volume = 177 Å³ per cell; calculated formation energy = -0.32 eV per atom; symmetry = P4/mbm, No. 127; total energy = -7.798 eV/atom
1.0
-4.673 -4.744 4.282
6.389 -3.371 3.238
-0.042 1.912 2.072
Nb Pd Pt
4 2 4
direct
0.335 0.835 0.000 Nb
0.835 0.665 0.000 Nb
0.665 0.165 0.000 Nb
0.165 0.335 0.000 Nb
0.000 0.000 0.000 Pd
0.500 0.500 0.000 Pd
0.130 0.630 0.500 Pt
0.630 0.870 0.500 Pt
0.870 0.370 0.500 Pt
0.370 0.130 0.500 Pt